First-principles (GGA-PBE) data for a relaxed K2CdIn crystal, as listed in Alexandria via LeMat-Bulk.

a = 5.2661 Å, b = 5.2661 Å, c = 7.2969 Å
α = 68.81°, β = 68.81°, γ = 60.01°
Fractional coordinates of all 4 atoms:
1 K 0.9783 0.9783 0.0662
2 K 0.7717 0.7717 0.6838
3 Cd 0.5419 0.5419 0.3745
4 In 0.2081 0.2081 0.3756

## Properties
Calculated total energy ... -6.1 eV per cell
Formation enthalpy at 0 K ... -0.0736 eV per atom

=====

First-principles (GGA-PBE) data for a relaxed Dy4AlCo crystal, as listed in Alexandria via LeMat-Bulk.

a = 9.4004 Å, b = 9.4004 Å, c = 9.4004 Å
α = 60.00°, β = 60.00°, γ = 60.00°
Fractional coordinates of all 24 atoms:
1 Dy 0.4009 0.4009 0.4009
2 Dy 0.7973 0.4009 0.4009
3 Dy 0.4009 0.7973 0.4009
4 Dy 0.4009 0.4009 0.7973
5 Dy 0.5577 0.5577 0.9423
6 Dy 0.9423 0.9423 0.5577
7 Dy 0.5577 0.9423 0.5577
8 Dy 0.9423 0.5577 0.9423
9 Dy 0.9423 0.5577 0.5577
10 Dy 0.5577 0.9423 0.9423
11 Dy 0.1879 0.1879 0.8121
12 Dy 0.8121 0.8121 0.1879
13 Dy 0.1879 0.8121 0.1879
14 Dy 0.8121 0.1879 0.8121
15 Dy 0.8121 0.1879 0.1879
16 Dy 0.1879 0.8121 0.8121
17 Al 0.1731 0.1731 0.1731
18 Al 0.4807 0.1731 0.1731
19 Al 0.1731 0.4807 0.1731
20 Al 0.1731 0.1731 0.4807
21 Co 0.6094 0.6094 0.6094
22 Co 0.1717 0.6094 0.6094
23 Co 0.6094 0.1717 0.6094
24 Co 0.6094 0.6094 0.1717

## Properties
Offset from the most stable computed form ... 0.00 eV per formula unit
Calculated total energy ... -123.7 eV per cell
Formation enthalpy at 0 K ... -0.2800 eV per atom

=====

First-principles (GGA-PBE) data for a relaxed BaCu2BiF8 crystal, as listed in Alexandria via LeMat-Bulk.

a = 5.9952 Å, b = 5.9952 Å, c = 7.7656 Å
α = 90.00°, β = 90.00°, γ = 120.00°
Site moments in Bohr magnetons follow the coordinates.
Fractional coordinates of all 12 atoms:
1 Ba 0.0000 0.0000 0.5000  0.00
2 Cu 0.3333 0.6667 0.6877  0.41
3 Cu 0.6667 0.3333 0.3123  0.41
4 Bi 0.0000 0.0000 0.0000  0.00
5 F 0.1565 0.3131 0.7950  0.01
6 F 0.1565 0.8435 0.7950  0.01
7 F 0.6869 0.8435 0.7950  0.01
8 F 0.3131 0.1565 0.2050  0.01
9 F 0.6667 0.3333 0.5535  0.04
10 F 0.3333 0.6667 0.4465  0.04
11 F 0.8435 0.6869 0.2050  0.01
12 F 0.8435 0.1565 0.2050  0.01

## Properties
Formation energy without anion corrections ... -26.2 eV/f.u.
Calculated total energy ... -55.2 eV per cell

=====

First-principles (GGA-PBE) data for a relaxed CaMgBr3 crystal, as listed in Alexandria via LeMat-Bulk.

a = 5.3268 Å, b = 5.3268 Å, c = 5.3268 Å
α = 90.00°, β = 90.00°, γ = 90.00°
Fractional coordinates of all 5 atoms:
1 Ca 0.5000 0.5000 0.5000
2 Mg 0.0000 0.0000 0.0000
3 Br 0.0000 0.5000 0.0000
4 Br 0.0000 0.0000 0.5000
5 Br 0.5000 0.0000 0.0000

## Properties
Offset from the most stable computed form ... 0.33 eV per formula unit
Formation energy without anion corrections ... -5.7 eV/f.u.
Calculated total energy ... -14.3 eV per cell

=====

First-principles (GGA-PBE) data for a relaxed Mg12Cd3Pb crystal, as listed in Alexandria via LeMat-Bulk.

a = 4.5315 Å, b = 4.5315 Å, c = 17.5607 Å
α = 90.00°, β = 90.00°, γ = 90.00°
Fractional coordinates of all 16 atoms:
1 Mg 0.5000 0.5000 0.0000
2 Mg 0.5000 0.5000 0.2546
3 Mg 0.5000 0.5000 0.5000
4 Mg 0.5000 0.5000 0.7454
5 Mg 0.5000 0.0000 0.1324
6 Mg 0.5000 0.0000 0.3778
7 Mg 0.5000 0.0000 0.6222
8 Mg 0.5000 0.0000 0.8676
9 Mg 0.0000 0.5000 0.1324
10 Mg 0.0000 0.5000 0.3778
11 Mg 0.0000 0.5000 0.6222
12 Mg 0.0000 0.5000 0.8676
13 Cd 0.0000 0.0000 0.2550
14 Cd 0.0000 0.0000 0.5000
15 Cd 0.0000 0.0000 0.7450
16 Pb 0.0000 0.0000 0.0000

## Properties
Calculated total energy ... -26.5 eV per cell
Formation enthalpy at 0 K ... -0.0600 eV per atom

=====

First-principles (GGA-PBE) data for a relaxed TlGeCl3 crystal, as listed in Alexandria via LeMat-Bulk.

a = 6.1414 Å, b = 6.1414 Å, c = 10.2039 Å
α = 90.00°, β = 90.00°, γ = 78.14°
Fractional coordinates of all 10 atoms:
1 Tl 0.6738 0.3262 0.2500
2 Tl 0.3262 0.6738 0.7500
3 Ge 0.1088 0.8912 0.2500
4 Ge 0.8912 0.1088 0.7500
5 Cl 0.4992 0.8624 0.2500
6 Cl 0.1376 0.5008 0.2500
7 Cl 0.8624 0.4992 0.7500
8 Cl 0.5008 0.1376 0.7500
9 Cl 0.0000 0.0000 0.0000
10 Cl 0.0000 0.0000 0.5000

## Properties
Formation energy without anion corrections ... -4.1 eV/f.u.
Calculated total energy ... -33.2 eV per cell

=====

First-principles (GGA-PBE) data for a relaxed Co2Ni4Ir crystal, as listed in Alexandria via LeMat-Bulk.

a = 6.0325 Å, b = 6.0319 Å, c = 4.8357 Å
α = 128.77°, β = 128.64°, γ = 89.94°
Site moments in Bohr magnetons follow the coordinates.
Fractional coordinates of all 7 atoms:
1 Co 0.7501 0.2519 0.5002  1.79
2 Co 0.2500 0.7482 0.5001  1.79
3 Ni 0.6945 0.3052 0.9997  0.73
4 Ni 0.3057 0.6949 0.0006  0.73
5 Ni 0.3056 0.3056 0.9996  0.73
6 Ni 0.6945 0.6945 0.0005  0.73
7 Ir 0.9997 0.9996 0.9993  0.92

## Properties
Offset from the most stable computed form ... 0.00 eV per formula unit
Calculated total energy ... -44.7 eV per cell
Formation enthalpy at 0 K ... 0.2142 eV per atom

=====

First-principles (GGA-PBE) data for a relaxed LiSc2In crystal, as listed in Alexandria via LeMat-Bulk.

a = 6.6375 Å, b = 6.6375 Å, c = 6.6375 Å
α = 152.51°, β = 53.86°, γ = 134.64°
Fractional coordinates of all 4 atoms:
1 Li 0.0000 0.0000 0.0000
2 Sc 0.2439 0.0000 0.2439
3 Sc 0.7561 0.0000 0.7561
4 In 0.5000 0.0000 0.5000

## Properties
Calculated total energy ... -16.5 eV per cell
Formation enthalpy at 0 K ... 0.2072 eV per atom

=====

First-principles (GGA-PBE) data for a relaxed LaInRh2 crystal, as listed in Alexandria via LeMat-Bulk.

a = 4.8915 Å, b = 4.8915 Å, c = 4.8915 Å
α = 60.00°, β = 60.00°, γ = 60.00°
Fractional coordinates of all 4 atoms:
1 La 0.7500 0.7500 0.7500
2 In 0.5000 0.5000 0.5000
3 Rh 0.0000 0.0000 0.0000
4 Rh 0.2500 0.2500 0.2500

## Properties
Calculated total energy ... -22.8 eV per cell
Formation enthalpy at 0 K ... -0.1183 eV per atom

=====

First-principles (GGA-PBE) data for a relaxed LuTi2Ru crystal, as listed in Alexandria via LeMat-Bulk.

a = 3.1418 Å, b = 3.1418 Å, c = 7.4605 Å
α = 90.00°, β = 90.00°, γ = 90.00°
Site moments in Bohr magnetons follow the coordinates.
Fractional coordinates of all 4 atoms:
1 Ru 0.5000 0.5000 0.0000  0.04
2 Lu 0.5000 0.5000 0.5000  -0.11
3 Ti 0.0000 0.0000 0.8026  -0.21
4 Ti 0.0000 0.0000 0.1974  -0.21

## Properties
Calculated total energy ... -30.4 eV per cell
Formation enthalpy at 0 K ... -0.1922 eV per atom

=====

First-principles (GGA-PBE) data for a relaxed KNaIn crystal, as listed in Alexandria via LeMat-Bulk.

a = 4.0255 Å, b = 4.0255 Å, c = 15.5890 Å
α = 97.42°, β = 97.42°, γ = 90.00°
Fractional coordinates of all 6 atoms:
1 K 0.0679 0.0679 0.1359
2 K 0.9321 0.9321 0.8641
3 Na 0.6659 0.6659 0.3317
4 Na 0.3341 0.3341 0.6683
5 In 0.7758 0.7758 0.5515
6 In 0.2242 0.2242 0.4485

## Properties
Offset from the most stable computed form ... 0.17 eV per formula unit
Calculated total energy ... -10.3 eV per cell
Formation enthalpy at 0 K ... -0.0030 eV per atom

=====

First-principles (GGA-PBE) data for a relaxed CaCd2OsPd crystal, as listed in Alexandria via LeMat-Bulk.

a = 5.0833 Å, b = 5.0833 Å, c = 4.8836 Å
α = 90.00°, β = 90.00°, γ = 90.00°
Fractional coordinates of all 5 atoms:
1 Ca 0.5000 0.5000 0.5000
2 Os 0.0000 0.0000 0.5000
3 Pd 0.0000 0.0000 0.0000
4 Cd 0.0000 0.5000 0.0000
5 Cd 0.5000 0.0000 0.0000

## Properties
Calculated total energy ... -17.2 eV per cell
Formation enthalpy at 0 K ... 0.6058 eV per atom

=====

First-principles (GGA-PBE) data for a relaxed PmNdSnPd crystal, as listed in Alexandria via LeMat-Bulk.

a = 5.3112 Å, b = 5.3112 Å, c = 5.3112 Å
α = 60.00°, β = 60.00°, γ = 60.00°
Fractional coordinates of all 4 atoms:
1 Nd 0.5000 0.5000 0.5000
2 Sn 0.2500 0.2500 0.2500
3 Pd 0.7500 0.7500 0.7500
4 Pm 0.0000 0.0000 0.0000

## Properties
Calculated total energy ... -21.5 eV per cell
Formation enthalpy at 0 K ... -0.6864 eV per atom

=====

First-principles (GGA-PBE) data for a relaxed MgSbCl2 crystal, as listed in Alexandria via LeMat-Bulk.

a = 3.3301 Å, b = 4.4157 Å, c = 6.3497 Å
α = 90.00°, β = 90.00°, γ = 90.00°
Fractional coordinates of all 4 atoms:
1 Cl 0.0000 0.0000 0.0123
2 Cl 0.0000 0.0000 0.4877
3 Mg 0.5000 0.5000 0.2500
4 Sb 0.5000 0.5000 0.7500

## Properties
Offset from the most stable computed form ... 3.32 eV per formula unit
Formation energy without anion corrections ... -1.2 eV/f.u.
Calculated total energy ... -10.6 eV per cell

=====

First-principles (GGA-PBE) data for a relaxed RuSe2S crystal, as listed in Alexandria via LeMat-Bulk.

a = 8.6785 Å, b = 8.6785 Å, c = 8.6785 Å
α = 21.20°, β = 21.20°, γ = 21.20°
Fractional coordinates of all 4 atoms:
1 Ru 0.0000 0.0000 0.0000
2 S 0.5000 0.5000 0.5000
3 Se 0.9079 0.9079 0.9079
4 Se 0.0921 0.0921 0.0921

## Properties
Formation energy without anion corrections ... 3.0 eV/f.u.
Calculated total energy ... -17.3 eV per cell

=====

First-principles (GGA-PBE) data for a relaxed NdHoFe4 crystal, as listed in Alexandria via LeMat-Bulk.

a = 5.1975 Å, b = 5.1975 Å, c = 5.1975 Å
α = 60.00°, β = 60.00°, γ = 60.00°
Site moments in Bohr magnetons follow the coordinates.
Fractional coordinates of all 6 atoms:
1 Nd 0.2500 0.2500 0.2500  -0.34
2 Ho 0.0000 0.0000 0.0000  -0.56
3 Fe 0.6254 0.6254 0.1239  2.20
4 Fe 0.6254 0.1239 0.6254  2.20
5 Fe 0.6254 0.6254 0.6254  2.20
6 Fe 0.1239 0.6254 0.6254  2.20

## Properties
Calculated total energy ... -43.2 eV per cell
Formation enthalpy at 0 K ... -0.0074 eV per atom

=====

First-principles (GGA-PBE) data for a relaxed Pm3Ag8Hg crystal, as listed in Alexandria via LeMat-Bulk.

a = 5.6904 Å, b = 5.6904 Å, c = 9.9538 Å
α = 73.39°, β = 73.39°, γ = 60.00°
Fractional coordinates of all 12 atoms:
1 Pm 0.3801 0.3801 0.8597
2 Pm 0.9908 0.9908 0.0277
3 Pm 0.5067 0.5067 0.4799
4 Ag 0.9423 0.4359 0.1860
5 Ag 0.4358 0.9380 0.6881
6 Ag 0.4359 0.4359 0.1860
7 Ag 0.9380 0.9380 0.6881
8 Ag 0.1881 0.1881 0.4356
9 Ag 0.6871 0.6871 0.9388
10 Ag 0.4359 0.9423 0.1860
11 Ag 0.9380 0.4358 0.6881
12 Hg 0.8713 0.8713 0.3860

## Properties
Calculated total energy ... -39.6 eV per cell
Formation enthalpy at 0 K ... -0.1825 eV per atom

=====

First-principles (GGA-PBE) data for a relaxed NpBrO crystal, as listed in Alexandria via LeMat-Bulk.

a = 4.8992 Å, b = 3.8508 Å, c = 3.8508 Å
α = 120.00°, β = 90.00°, γ = 90.00°
Site moments in Bohr magnetons follow the coordinates.
Fractional coordinates of all 3 atoms:
1 Np 0.1662 0.0000 0.0000  3.90
2 O 0.1669 0.3333 0.6667  -0.11
3 Br 0.6669 0.6667 0.3333  -0.02

## Properties
Formation energy without anion corrections ... -6.2 eV/f.u.
Calculated total energy ... -25.8 eV per cell

=====

First-principles (GGA-PBE) data for a relaxed NaBiPbO3 crystal, as listed in Alexandria via LeMat-Bulk.

a = 3.4421 Å, b = 8.4800 Å, c = 7.9267 Å
α = 78.22°, β = 90.00°, γ = 90.00°
Fractional coordinates of all 12 atoms:
1 Na 0.2500 0.9958 0.8245
2 Na 0.7500 0.0042 0.1755
3 Bi 0.2500 0.6629 0.1260
4 Bi 0.7500 0.3371 0.8740
5 Pb 0.2500 0.3071 0.4732
6 Pb 0.7500 0.6929 0.5268
7 O 0.7500 0.8140 0.9930
8 O 0.2500 0.1860 0.0070
9 O 0.2500 0.8139 0.3120
10 O 0.7500 0.1861 0.6880
11 O 0.7500 0.5238 0.3395
12 O 0.2500 0.4762 0.6605

## Properties
Formation energy without anion corrections ... -7.5 eV/f.u.
Calculated total energy ... -62.5 eV per cell

=====

First-principles (GGA-PBE) data for a relaxed Mg8Cd2Sn crystal, as listed in Alexandria via LeMat-Bulk.

a = 4.4453 Å, b = 7.1517 Å, c = 8.4346 Å
α = 106.67°, β = 105.28°, γ = 90.00°
Fractional coordinates of all 11 atoms:
1 Mg 0.5931 0.4580 0.1862
2 Mg 0.3176 0.0840 0.6351
3 Mg 0.1409 0.1925 0.2817
4 Mg 0.0456 0.7288 0.0913
5 Mg 0.8591 0.8075 0.7183
6 Mg 0.6824 0.9160 0.3649
7 Mg 0.4069 0.5420 0.8138
8 Mg 0.9544 0.2712 0.9087
9 Cd 0.2231 0.6432 0.4463
10 Cd 0.7769 0.3568 0.5537
11 Sn 0.5000 0.0000 0.0000

## Properties
Offset from the most stable computed form ... 0.00 eV per formula unit
Calculated total energy ... -19.5 eV per cell
Formation enthalpy at 0 K ... -0.0813 eV per atom